Version a
Computed, not measured: a geometry-optimized Ho3Sc3Bi2Os structure at the PBE level of DFT.

Cell and atoms, written as POSCAR:
```
Ho3Sc3Bi2Os
1.0
8.125 0.000 0.000
-4.062 7.036 0.000
0.000 0.000 4.063
Bi Os Sc Ho
2 1 3 3
direct
0.333 0.667 0.500
0.667 0.333 0.500
0.000 0.000 0.000
0.384 0.000 0.000
0.616 0.616 0.000
0.000 0.384 0.000
0.240 0.240 0.500
0.000 0.760 0.500
0.760 0.000 0.500
```

---

Version b
Computed, not measured: a geometry-optimized Ho3Sc3Bi2Os structure at the PBE level of DFT.

Cell and atoms, written as POSCAR:
```
Ho3Sc3Bi2Os
1.0
-5.556 1.761 5.387
6.646 -3.724 2.225
1.853 3.721 0.694
Ho Sc Bi Os
3 3 2 1
direct
0.385 0.000 0.000
0.615 0.615 0.000
0.000 0.385 0.000
0.777 0.000 0.500
0.223 0.223 0.500
0.000 0.777 0.500
0.667 0.333 0.500
0.333 0.667 0.500
0.000 0.000 0.000
```

---

It is version b that is the most stable of them.

---

Version a
Computed, not measured: a geometry-optimized Ho3Tm3Bi2Os structure at the PBE level of DFT.

Cell and atoms, written as POSCAR:
```
Ho3Tm3Bi2Os
1.0
-6.211 -3.337 -4.231
7.718 -2.473 -1.390
-0.420 -2.976 2.964
Tm Ho Os Bi
3 3 1 2
direct
0.383 0.383 0.000
0.617 0.000 0.000
0.000 0.617 0.000
0.234 0.000 0.500
0.000 0.234 0.500
0.766 0.766 0.500
0.000 0.000 0.000
0.333 0.667 0.500
0.667 0.333 0.500
```

---

Version b
Computed, not measured: a geometry-optimized Ho3Tm3Bi2Os structure at the PBE level of DFT.

Cell and atoms, written as POSCAR:
```
Ho3Tm3Bi2Os
1.0
8.220 0.000 0.000
-4.110 7.119 0.000
0.000 0.000 4.231
Tm Ho Bi Os
3 3 2 1
direct
0.000 0.232 0.500
0.232 0.000 0.500
0.768 0.768 0.500
0.615 0.000 0.000
0.385 0.385 0.000
0.000 0.615 0.000
0.667 0.333 0.500
0.333 0.667 0.500
0.000 0.000 0.000
```

---

It is version b that is the most stable of them.

---

Version a
Computed, not measured: a geometry-optimized Ho3Zr3Bi2Os structure at the PBE level of DFT.

Cell and atoms, written as POSCAR:
```
Ho3Zr3Bi2Os
1.0
8.170 0.000 0.000
-4.085 7.075 0.000
0.000 0.000 3.856
Ho Bi Zr Os
3 2 3 1
direct
0.000 0.755 0.500
0.245 0.245 0.500
0.755 0.000 0.500
0.333 0.667 0.500
0.667 0.333 0.500
0.391 0.000 0.000
0.609 0.609 0.000
0.000 0.391 0.000
0.000 0.000 0.000
```

---

Version b
Computed, not measured: a geometry-optimized Ho3Zr3Bi2Os structure at the PBE level of DFT.

Cell and atoms, written as POSCAR:
```
Ho3Zr3Bi2Os
1.0
-7.150 -3.819 -0.145
6.807 -4.076 -1.666
0.407 -0.909 3.888
Zr Bi Ho Os
3 2 3 1
direct
0.768 0.000 0.500
0.000 0.768 0.500
0.232 0.232 0.500
0.333 0.667 0.500
0.667 0.333 0.500
0.000 0.391 0.000
0.609 0.609 0.000
0.391 0.000 0.000
0.000 0.000 0.000
```

---

It is version b that is the most stable of them.